# BaCaEuWO6, relaxed, DFT GGA+U
# Final energy in eV/atom: -7.835
# Fermi-level density of states in states/eV/atom: 1.478
# Energy above the most stable polymorph in this dataset in meV/atom: 0
# Calculated volume in Å³/cell: 297.6
data_BaCaEuWO6
_chemical_formula_sum 'Ba2 Ca2 Eu2 W2 O12'
_space_group_name_H-M_alt 'P -1'
_space_group_IT_number 2
_space_group_name_Hall '-P 1'
_cell_length_a 5.9325
_cell_length_b 5.9678
_cell_length_c 8.4072
_cell_angle_alpha 90.64
_cell_angle_beta 90.59
_cell_angle_gamma 90.06
loop_
_atom_site_label
_atom_site_type_symbol
_atom_site_fract_x
_atom_site_fract_y
_atom_site_fract_z
Ba1 Ba 0.0035 0.0234 0.2500
Ca1 Ca 0.0000 0.5000 0.5000
Ca2 Ca 0.5000 0.0000 0.0000
Eu1 Eu 0.4903 0.5356 0.2525
W1 W 0.0000 0.5000 0.0000
W2 W 0.5000 0.0000 0.5000
O1 O 0.0874 0.4930 0.7735
O2 O 0.2036 0.7547 0.0353
O3 O 0.2358 0.8045 0.4774
O4 O 0.2555 0.3012 0.0507
O5 O 0.3154 0.2689 0.4532
O6 O 0.4438 0.0441 0.7283


# BaCaEuWO6, relaxed, DFT GGA+U
# Final energy in eV/atom: -7.675
# Fermi-level density of states in states/eV/atom: 1.066
# Energy above the most stable polymorph in this dataset in meV/atom: 160
# Calculated volume in Å³/cell: 628.3
data_BaCaEuWO6
_chemical_formula_sum 'Ba4 Ca4 Eu4 W4 O24'
_space_group_name_H-M_alt 'F -4 3 m'
_space_group_IT_number 216
_space_group_name_Hall 'F -4 2 3'
_cell_length_a 8.5650
_cell_length_b 8.5650
_cell_length_c 8.5650
_cell_angle_alpha 90.00
_cell_angle_beta 90.00
_cell_angle_gamma 90.00
loop_
_atom_site_label
_atom_site_type_symbol
_atom_site_fract_x
_atom_site_fract_y
_atom_site_fract_z
Ba1 Ba 0.0000 0.0000 0.0000
Ca1 Ca 0.0000 0.0000 0.5000
Eu1 Eu 0.2500 0.2500 0.7500
W1 W 0.2500 0.2500 0.2500
O1 O 0.0210 0.2500 0.2500


# BaCaEuWO6, relaxed, DFT GGA+U
# Final energy in eV/atom: -7.794
# Energy above the most stable polymorph in this dataset in meV/atom: 41
# Calculated volume in Å³/cell: 601.4
data_BaCaEuWO6
_chemical_formula_sum 'Ba4 Ca4 Eu4 W4 O24'
_space_group_name_H-M_alt 'F -4 3 m'
_space_group_IT_number 216
_space_group_name_Hall 'F -4 2 3'
_cell_length_a 8.4408
_cell_length_b 8.4408
_cell_length_c 8.4408
_cell_angle_alpha 90.00
_cell_angle_beta 90.00
_cell_angle_gamma 90.00
loop_
_atom_site_label
_atom_site_type_symbol
_atom_site_fract_x
_atom_site_fract_y
_atom_site_fract_z
Ba1 Ba 0.0000 0.0000 0.0000
Ca1 Ca 0.2500 0.2500 0.2500
Eu1 Eu 0.0000 0.0000 0.5000
W1 W 0.2500 0.2500 0.7500
O1 O 0.0187 0.2500 0.7500